Crystalline MnFeRe2 at its relaxed geometry, computed with GGA-PBE.

Structure (POSCAR):
```
MnFeRe2
1.0
3.0920 0.0000 0.0000
0.0000 4.2132 0.0000
0.0000 0.0000 4.1813
Fe Mn Re
1 1 2
Direct
0.5000 0.0000 0.5000 Fe
0.0000 0.5000 0.5000 Mn
0.0000 0.0000 0.0000 Re
0.5000 0.5000 0.0000 Re
```

Values from the calculation:
V in Å³ per cell: 54.5
Spin magnetization in μB/cell: 4.554
Crystal system: orthorhombic
Calculated formation energy in eV per formula unit: 0.50
Space-group type: Pmmm (47)